(1)
## Tl3MoCl6 (PBE)

Data for Tl3MoCl6 after structural relaxation.

```
Tl3MoCl6
1.0
7.240 0.000 0.151
0.000 8.066 0.000
0.122 0.000 10.679
Tl Mo Cl
6 2 12
direct
0.526 0.933 0.761 Tl
0.500 0.500 0.000 Tl
0.474 0.067 0.239 Tl
0.026 0.567 0.261 Tl
0.000 0.000 0.500 Tl
0.974 0.433 0.739 Tl
0.500 0.500 0.500 Mo
0.000 0.000 0.000 Mo
0.716 0.161 0.966 Cl
0.657 0.245 0.569 Cl
0.608 0.444 0.283 Cl
0.392 0.556 0.717 Cl
0.343 0.755 0.431 Cl
0.284 0.839 0.034 Cl
0.216 0.339 0.466 Cl
0.157 0.255 0.069 Cl
0.108 0.056 0.783 Cl
0.892 0.944 0.217 Cl
0.843 0.745 0.931 Cl
0.784 0.661 0.534 Cl
```

Formation energy (no corrections) ... -93.51 kJ/mol of atoms
DFT total energy ... -3.870 eV per atom
Energy above the lowest structure with this stoichiometry ... 0 meV per atom
Calculated volume ... 312 Å³/f.u.
Total moment ... 3.0 μB/f.u.

=====

(2)
## KGa2Bi (PBE)

Data for KGa2Bi after structural relaxation.

```
KGa2Bi
1.0
-4.460 1.050 -1.061
0.790 -1.422 -4.730
-3.057 -8.569 4.368
K Ga Bi
2 4 2
direct
0.750 0.662 0.236 K
0.250 0.338 0.764 K
0.750 0.273 0.500 Ga
0.250 0.727 0.500 Ga
0.750 0.838 0.629 Ga
0.250 0.162 0.371 Ga
0.750 0.841 0.919 Bi
0.250 0.159 0.081 Bi
```

DFT total energy ... -2.896 eV per atom
Energy of formation from the pure elements ... -138 meV/atom
Calculated volume ... 116 Å³/f.u.
Total moment ... 0.0 μB/f.u.

=====

(3)
## YHgF2 (PBE)

Data for YHgF2 after structural relaxation.

```
YHgF2
1.0
-3.730 -4.960 7.458
-0.932 -3.602 8.960
-3.840 -1.753 8.736
Y Hg F
1 1 2
direct
0.500 0.500 0.500 Y
0.000 0.000 0.000 Hg
0.877 0.877 0.877 F
0.123 0.123 0.123 F
```

Formation energy (no corrections) ... -224.18 kJ/mol of atoms
DFT total energy ... -4.951 eV per atom
Energy above the lowest structure with this stoichiometry ... 124 meV per atom
Calculated volume ... 98 Å³/f.u.
Total moment ... 1.0 μB/f.u.